[1]
Here is a geometry-optimized PrYNi2Pb structure from the Open Quantum Materials Database. Energies are from PBE-GGA.

Lattice parameters (Å, degrees): 3.807 7.559 7.559 30.77 90.00 90.00
Sites, in units of the cell vectors:
Pb 0.000 0.005 0.005
Ni 0.000 0.200 0.200
Pr 0.500 0.362 0.362
Ni 0.000 0.794 0.794
Y 0.500 0.640 0.640

Values from the calculation:
Its space group is No. 38. For the total energy, the calculation gives -5.68 eV per atom.

[2]
Here is a geometry-optimized ScNiPtPb structure from the Open Quantum Materials Database. Energies are from PBE-GGA.

Lattice parameters (Å, degrees): 4.648 4.648 4.648 60.00 60.00 60.00
Sites, in units of the cell vectors:
Ni 0.750 0.750 0.750
Pb 0.000 0.000 0.000
Pt 0.500 0.500 0.500
Sc 0.250 0.250 0.250

Values from the calculation:
Its space group is No. 216. For the total energy, the calculation gives -5.75 eV per atom.

[3]
Here is a geometry-optimized ScNiPtPb structure from the Open Quantum Materials Database. Energies are from PBE-GGA.

Lattice parameters (Å, degrees): 4.646 4.646 4.646 60.00 60.00 60.00
Sites, in units of the cell vectors:
Pb 0.000 0.000 0.000
Sc 0.500 0.500 0.500
Ni 0.750 0.750 0.750
Pt 0.250 0.250 0.250

Values from the calculation:
Its space group is No. 216. For the total energy, the calculation gives -5.89 eV per atom.

[4]
Here is a geometry-optimized Sm3Ni2PtPb3 structure from the Open Quantum Materials Database. Energies are from PBE-GGA.

Lattice parameters (Å, degrees): 7.589 7.589 4.154 90.00 90.00 120.00
Sites, in units of the cell vectors:
Pt 0.000 0.000 0.500
Sm 0.593 0.000 0.500
Ni 0.667 0.333 0.000
Sm 0.000 0.593 0.500
Pb 0.000 0.268 0.000
Sm 0.407 0.407 0.500
Pb 0.268 0.000 0.000
Pb 0.732 0.732 0.000
Ni 0.333 0.667 0.000

Values from the calculation:
Its space group is No. 189. For the total energy, the calculation gives -5.25 eV per atom.